A plane-wave DFT calculation with PBE was carried out for BeW2 after structural relaxation.

Unit cell a=5.0159 b=5.0159 c=5.1422 alpha=89.99 beta=89.99 gamma=39.12
Last column: nearest neighbours and their distance in Å.
Element x y z (fractional)
W 0.5000 0.5000 0.0000  4 Be 2.42, 2 W 2.57
W 0.1981 0.1981 0.2498  2 Be 2.37
W 0.8019 0.8019 0.7502  2 Be 2.37
W 0.5000 0.5000 0.5000  4 Be 2.42, 2 W 2.57
Be 0.1245 0.1245 0.7499  6 W 2.37-2.42
Be 0.8755 0.8755 0.2501  6 W 2.37-2.42

Values from the calculation:
Polymorph energy (0 for the lowest one) ... 0.273 eV per atom
Formation energy ... 0.147 eV per atom
Total magnetic moment ... 0.00 μB per formula unit
Fermi-level density of states ... 1.63 states/eV per cell
Calculated volume ... 13.60 Å³ per atom
Raw total energy ... -9.731 eV per atom

***

A plane-wave DFT calculation with PBE was carried out for Be2W after structural relaxation.

Unit cell a=3.4674 b=4.7420 c=8.0023 alpha=90.00 beta=90.00 gamma=90.00
Last column: nearest neighbours and their distance in Å.
Element x y z (fractional)
W 0.2500 0.5974 0.3856  9 Be 2.41-2.58, 2 W 2.69
W 0.7500 0.9026 0.8856  9 Be 2.41-2.58, 2 W 2.69
W 0.2500 0.0974 0.1144  9 Be 2.41-2.58, 2 W 2.69
W 0.7500 0.4026 0.6144  9 Be 2.41-2.58, 2 W 2.69
Be 0.7500 0.2159 0.3228  3 Be 2.10-2.34
Be 0.2500 0.7841 0.6772  3 Be 2.10-2.34
Be 0.7500 0.3968 0.9541  5 Be 2.10-2.34
Be 0.2500 0.2841 0.8228  3 Be 2.10-2.34
Be 0.7500 0.7159 0.1772  3 Be 2.10-2.34
Be 0.2500 0.6032 0.0459  5 Be 2.10-2.34
Be 0.2500 0.1032 0.4541  5 Be 2.10-2.34
Be 0.7500 0.8968 0.5459  5 Be 2.10-2.34

Values from the calculation:
Polymorph energy (0 for the lowest one) ... 0.357 eV per atom
Formation energy ... 0.044 eV per atom
Total magnetic moment ... 0.00 μB per formula unit
Fermi-level density of states ... 4.23 states/eV per cell
Calculated volume ... 10.96 Å³ per atom
Raw total energy ... -6.758 eV per atom

***

A plane-wave DFT calculation with PBE was carried out for BeW2 after structural relaxation.

Unit cell a=4.2969 b=4.2969 c=5.1704 alpha=90.00 beta=90.00 gamma=120.00
Last column: nearest neighbours and their distance in Å.
Element x y z (fractional)
W 0.6667 0.3333 0.2500  5 Be 2.48-2.59
W 0.0000 0.0000 0.0000  8 W 2.59-2.80, 6 Be 2.80
W 0.0000 0.0000 0.5000  8 W 2.59-2.80, 6 Be 2.80
W 0.3333 0.6667 0.7500  5 Be 2.48-2.59
Be 0.3333 0.6667 0.2500  5 W 2.48-2.59
Be 0.6667 0.3333 0.7500  5 W 2.48-2.59

Values from the calculation:
Polymorph energy (0 for the lowest one) ... 0.350 eV per atom
Formation energy ... 0.224 eV per atom
Total magnetic moment ... 0.00 μB per formula unit
Fermi-level density of states ... 4.88 states/eV per cell
Calculated volume ... 13.78 Å³ per atom
Raw total energy ... -9.654 eV per atom

***

What is the Fermi-level density of states in the second record? 4.23 states/eV per cell

***

Which formula does entry 1 have? BeW2

***

Copy entry 2 word for word.
A plane-wave DFT calculation with PBE was carried out for Be2W after structural relaxation.

Unit cell a=3.4674 b=4.7420 c=8.0023 alpha=90.00 beta=90.00 gamma=90.00
Last column: nearest neighbours and their distance in Å.
Element x y z (fractional)
W 0.2500 0.5974 0.3856  9 Be 2.41-2.58, 2 W 2.69
W 0.7500 0.9026 0.8856  9 Be 2.41-2.58, 2 W 2.69
W 0.2500 0.0974 0.1144  9 Be 2.41-2.58, 2 W 2.69
W 0.7500 0.4026 0.6144  9 Be 2.41-2.58, 2 W 2.69
Be 0.7500 0.2159 0.3228  3 Be 2.10-2.34
Be 0.2500 0.7841 0.6772  3 Be 2.10-2.34
Be 0.7500 0.3968 0.9541  5 Be 2.10-2.34
Be 0.2500 0.2841 0.8228  3 Be 2.10-2.34
Be 0.7500 0.7159 0.1772  3 Be 2.10-2.34
Be 0.2500 0.6032 0.0459  5 Be 2.10-2.34
Be 0.2500 0.1032 0.4541  5 Be 2.10-2.34
Be 0.7500 0.8968 0.5459  5 Be 2.10-2.34

Values from the calculation:
Polymorph energy (0 for the lowest one) ... 0.357 eV per atom
Formation energy ... 0.044 eV per atom
Total magnetic moment ... 0.00 μB per formula unit
Fermi-level density of states ... 4.23 states/eV per cell
Calculated volume ... 10.96 Å³ per atom
Raw total energy ... -6.758 eV per atom

***

Among the records above, which one has the highest raw total energy? Be2W